A plane-wave DFT calculation with PBE was carried out for an optimized crystal structure of LuP3O9.

Cell lengths 14.166, 6.761, 10.080 Å; angles 90.00, 127.20, 90.00 degrees
Space group Cc (No. 9)
Inequivalent atoms, fractional coordinates:
Lu 0.000 0.237 0.000 [4 per cell]
P 0.150 0.103 0.835 [4 per cell]
P 0.243 0.425 0.732 [4 per cell]
P 0.352 0.091 0.667 [4 per cell]
O 0.051 0.132 0.848 [4 per cell]
O 0.129 0.042 0.208 [4 per cell]
O 0.151 0.434 0.105 [4 per cell]
O 0.185 0.314 0.807 [4 per cell]
O 0.257 0.257 0.631 [4 per cell]
O 0.270 0.057 0.015 [4 per cell]
O 0.362 0.494 0.372 [4 per cell]
O 0.397 0.018 0.325 [4 per cell]
O 0.440 0.180 0.648 [4 per cell]

Computed properties:
- Raw formation energy: -3191 kJ/mol of formula units
- Fermi-level density of states: 0.000 states/eV per atom
- Total energy: -7.5727 eV per atom